1.
# LaTb2Bi2 (PBE, optimized geometry)
data_LaTb2Bi2
_space_group_name_H-M_alt 'C 1 2/c 1'
_space_group_IT_number 15
_space_group_name_Hall '-C 2yc'
_cell_length_a 10.6466
_cell_length_b 12.5292
_cell_length_c 6.3188
_cell_angle_alpha 90.00
_cell_angle_beta 123.92
_cell_angle_gamma 90.00
loop_
_atom_site_label
_atom_site_fract_x
_atom_site_fract_y
_atom_site_fract_z
La1 0.0000 0.1016 0.2500
Tb1 0.1775 0.4073 0.9831
Bi1 0.0000 0.1818 0.7500
Bi2 0.0000 0.3724 0.2500
# * E_form: -0.509 eV per atom
# * Fermi-level density of states: 19.5 states/eV per cell

---

2.
# LaTb2Bi (PBE, optimized geometry)
data_LaTb2Bi
_space_group_name_H-M_alt 'P 4/m m m'
_space_group_IT_number 123
_space_group_name_Hall '-P 4 2'
_cell_length_a 4.9822
_cell_length_b 4.9822
_cell_length_c 4.8939
_cell_angle_alpha 90.00
_cell_angle_beta 90.00
_cell_angle_gamma 90.00
loop_
_atom_site_label
_atom_site_fract_x
_atom_site_fract_y
_atom_site_fract_z
La1 0.0000 0.0000 0.0000
Tb1 0.0000 0.5000 0.5000
Bi1 0.5000 0.5000 0.0000
# * E_form: -0.404 eV per atom
# * Fermi-level density of states: 4.6 states/eV per cell
# * offset from the most stable computed form: 0.0 kJ per mole of atoms